(1)
An optimized crystal structure of In2CoRu. Source: Alexandria, functional PBE.

Computed properties:
magnetic moment: 0.516 μB per atom
formation enthalpy at 0 K: 0.43 eV per atom

a b c (Å): 4.5610 4.5610 4.5610
angles (deg): 60.00 60.00 60.00
With the nearest neighbours (Å) after each atom.
Atoms (fractional coordinates):
Co: 0.5000 0.5000 0.5000  4 Ru 2.79, 4 In 2.79
In: 0.0000 0.0000 0.0000  4 In 2.79, 4 Ru 2.79
In: 0.7500 0.7500 0.7500  4 Co 2.79, 4 In 2.79
Ru: 0.2500 0.2500 0.2500  4 In 2.79, 4 Co 2.79

***

(2)
An optimized crystal structure of HgBiS2Cl. Source: Alexandria, functional PBE.

Computed properties:
uncorrected formation energy: 0.337 eV per atom
energy above the lowest structure with this stoichiometry: 657 meV/atom
magnetic moment: 0.000 μB per atom

a b c (Å): 5.0325 5.0325 5.0903
angles (deg): 90.00 90.00 90.00
With the nearest neighbours (Å) after each atom.
Atoms (fractional coordinates):
S: 0.0000 0.5000 0.0000  2 Hg 2.52
S: 0.5000 0.0000 0.0000  2 Hg 2.52
Cl: 0.0000 0.0000 0.5000  2 Hg 2.55
Bi: 0.5000 0.5000 0.5000  4 Cl 3.56, 8 S 3.58
Hg: 0.0000 0.0000 0.0000  4 S 2.52, 2 Cl 2.55

***

(3)
An optimized crystal structure of HgRu2Pt. Source: Alexandria, functional PBE.

Computed properties:
magnetic moment: 0.001 μB per atom
formation enthalpy at 0 K: 0.39 eV per atom

a b c (Å): 9.3848 9.3848 9.3848
angles (deg): 17.30 17.30 17.30
With the nearest neighbours (Å) after each atom.
Atoms (fractional coordinates):
Hg: 0.2500 0.2500 0.2500  6 Hg 2.82, 6 Ru 2.93
Pt: 0.7500 0.7500 0.7500  6 Ru 2.72, 6 Pt 2.82
Ru: 0.0046 0.0046 0.0046  3 Pt 2.72, 6 Ru 2.82, 3 Hg 2.93
Ru: 0.4954 0.4954 0.4954  3 Pt 2.72, 6 Ru 2.82, 3 Hg 2.93

***

(4)
An optimized crystal structure of NbNi2Os. Source: Alexandria, functional PBE.

Computed properties:
energy above the lowest structure with this stoichiometry: 541 meV/atom
magnetic moment: 0.000 μB per atom
formation enthalpy at 0 K: 0.36 eV per atom

a b c (Å): 3.6610 3.6610 9.2593
angles (deg): 78.60 78.60 90.00
With the nearest neighbours (Å) after each atom.
Atoms (fractional coordinates):
Ni: 0.6444 0.1250 0.2500  4 Ni 2.49-2.69, 2 Os 2.55, 2 Nb 2.60
Ni: 0.1056 0.6250 0.2500  4 Ni 2.49-2.69, 2 Os 2.55, 2 Nb 2.60
Ni: 0.3750 0.3556 0.7500  4 Ni 2.49-2.69, 2 Os 2.55, 2 Nb 2.60
Ni: 0.8750 0.8944 0.7500  4 Ni 2.49-2.69, 2 Os 2.55, 2 Nb 2.60
Nb: 0.5000 0.5000 0.0000  4 Os 2.59, 4 Ni 2.60
Nb: 0.2500 0.7500 0.5000  4 Os 2.59, 4 Ni 2.60
Os: 0.0000 0.0000 0.0000  4 Ni 2.55, 4 Nb 2.59
Os: 0.7500 0.2500 0.5000  4 Ni 2.55, 4 Nb 2.59

***

(5)
An optimized crystal structure of LiPu7Rh4. Source: Alexandria, functional PBE.

Computed properties:
magnetic moment: 1.355 μB per atom
formation enthalpy at 0 K: -0.10 eV per atom

a b c (Å): 5.0534 10.8598 5.4694
angles (deg): 97.78 62.49 76.55
With the nearest neighbours (Å) after each atom.
Atoms (fractional coordinates):
Li: 0.0000 0.0000 0.0000  2 Rh 2.36, 2 Pu 2.53
Pu: 0.9296 0.8019 0.3390  1 Pu 2.49
Pu: 0.0704 0.1981 0.6610  1 Pu 2.49
Pu: 0.1190 0.5567 0.2054  1 Pu 2.49, 1 Rh 2.69
Pu: 0.8810 0.4433 0.7946  1 Pu 2.49, 1 Rh 2.69
Pu: 0.3552 0.6747 0.6149  3 Rh 2.83-2.94
Pu: 0.5000 0.0000 0.0000  2 Li 2.53, 2 Rh 2.74
Pu: 0.6448 0.3253 0.3851  3 Rh 2.83-2.94
Rh: 0.7076 0.0781 0.5066  1 Li 2.36
Rh: 0.2924 0.9219 0.4934  1 Li 2.36
Rh: 0.6768 0.7085 0.9380  4 Pu 2.69-3.01, 1 Rh 2.99
Rh: 0.3232 0.2915 0.0620  4 Pu 2.69-3.01, 1 Rh 2.99

***

(6)
An optimized crystal structure of NaLa2Lu. Source: Alexandria, functional PBE.

Computed properties:
energy above the lowest structure with this stoichiometry: 0 meV/atom
magnetic moment: 0.000 μB per atom
formation enthalpy at 0 K: 0.11 eV per atom

a b c (Å): 3.5566 3.5566 11.1622
angles (deg): 90.00 90.00 90.00
With the nearest neighbours (Å) after each atom.
Atoms (fractional coordinates):
Na: 0.5000 0.5000 0.5000  4 Na 3.56, 8 La 3.93
Lu: 0.5000 0.5000 0.0000  4 Lu 3.56, 8 La 3.59
La: 0.0000 0.0000 0.7706  4 La 3.56, 4 Lu 3.59, 4 Na 3.93
La: 0.0000 0.0000 0.2294  4 La 3.56, 4 Lu 3.59, 4 Na 3.93

***

(7)
An optimized crystal structure of Ag2PtC. Source: Alexandria, functional PBE.

Computed properties:
magnetic moment: 0.000 μB per atom
formation enthalpy at 0 K: 0.73 eV per atom

a b c (Å): 8.5481 8.5481 6.3485
angles (deg): 47.68 47.68 90.00
With the nearest neighbours (Å) after each atom.
Atoms (fractional coordinates):
C: 0.5000 0.5000 0.0000  2 Pt 1.94
C: 0.2500 0.7500 0.5000  2 Pt 1.94
Ag: 0.4939 0.1250 0.2500  2 C 2.42
Ag: 0.2561 0.6250 0.2500  2 C 2.42
Ag: 0.3750 0.5061 0.7500  2 C 2.42
Ag: 0.8750 0.7439 0.7500  2 C 2.42
Pt: 0.0000 0.0000 0.0000  2 C 1.94
Pt: 0.7500 0.2500 0.5000  2 C 1.94

***

(8)
An optimized crystal structure of UFeCo. Source: Alexandria, functional PBE.

Computed properties:
energy above the lowest structure with this stoichiometry: 0 meV/atom
magnetic moment: 0.002 μB per atom
formation enthalpy at 0 K: -0.18 eV per atom

a b c (Å): 4.0096 4.0097 6.1779
angles (deg): 71.06 108.94 90.00
With the nearest neighbours (Å) after each atom.
Atoms (fractional coordinates):
U: 0.1579 0.8422 0.3158  1 Co 2.25
U: 0.8421 0.1578 0.6842  1 Co 2.25
Fe: 0.0000 0.5000 0.0000  4 Co 2.51, 4 U 2.65
Fe: 0.5000 0.0000 0.0000  4 Co 2.51, 4 U 2.65
Co: 0.3630 0.6369 0.7260  1 U 2.25, 4 Fe 2.51
Co: 0.6370 0.3631 0.2740  1 U 2.25, 4 Fe 2.51